1.
## Nd6YTm4 (PBE)

Data for a relaxed structure of Nd6YTm4.

## Properties
E above lowest polymorph: 199.6 meV/atom
Fermi-level density of states: 16.7 states/eV/f.u.
formation enthalpy at 0 K: 29.6 kJ per mole of atoms

a = 6.747 Å, b = 6.747 Å, c = 16.690 Å
α = 90.00°, β = 90.00°, γ = 90.00°
Space group I-42m (No. 121)
Unique sites:
Nd 0.000 0.500 0.000
Nd 0.191 0.191 0.178
Y 0.000 0.000 0.000
Tm 0.177 0.177 0.381

2.
## NdHo2Er4Tm (PBE)

Data for a relaxed structure of NdHo2Er4Tm.

## Properties
Fermi-level density of states: 17.3 states/eV/f.u.
formation enthalpy at 0 K: 43.0 kJ per mole of atoms

a = 6.744 Å, b = 11.681 Å, c = 13.217 Å
α = 90.00°, β = 90.00°, γ = 90.00°
Space group Imma (No. 74)
Unique sites:
Nd 0.000 0.000 0.000
Ho 0.000 0.000 0.500
Ho 0.250 0.250 0.250
Er 0.000 0.001 0.749
Er 0.249 0.250 0.501
Tm 0.250 0.250 0.750

3.
## CsRbBa2Tl (PBE)

Data for a relaxed structure of CsRbBa2Tl.

## Properties
E above lowest polymorph: 9.6 meV/atom
Fermi-level density of states: 5.5 states/eV/f.u.
formation enthalpy at 0 K: 0.5 kJ per mole of atoms

a = 6.898 Å, b = 6.898 Å, c = 7.764 Å
α = 90.00°, β = 90.00°, γ = 90.00°
Space group P4/mmm (No. 123)
Unique sites:
Cs 0.000 0.000 0.000
Rb 0.500 0.500 0.000
Ba 0.000 0.500 0.500
Tl 0.000 0.000 0.500

4.
## ZnFeBr2 (PBE)

Data for a relaxed structure of ZnFeBr2.

## Properties
formation energy without anion corrections: 1.360 eV/f.u.
E above lowest polymorph: 438.0 meV/atom
Fermi-level density of states: 2.0 states/eV/f.u.

a = 6.886 Å, b = 6.886 Å, c = 6.886 Å
α = 90.00°, β = 90.00°, γ = 90.00°
Space group Fm-3m (No. 225)
Unique sites:
Zn 0.000 0.000 0.000
Fe 0.000 0.000 0.500
Br 0.250 0.250 0.250

5.
## HoPuPt2 (PBE)

Data for a relaxed structure of HoPuPt2.

## Properties
Fermi-level density of states: 11.7 states/eV/f.u.
formation enthalpy at 0 K: -85.0 kJ per mole of atoms

a = 4.0408 Å, b = 4.0408 Å, c = 20.4108 Å
α = 90.00°, β = 90.00°, γ = 120.00°
Space group R3m (No. 160, hexagonal axes)
Unique sites:
Ho 0.0000 0.0000 0.0000
Pu 0.0000 0.0000 0.1719
Pt 0.0000 0.0000 0.5876
Pt 0.0000 0.0000 0.7517

6.
## TlCoBr2 (PBE)

Data for a relaxed structure of TlCoBr2.

## Properties
formation energy without anion corrections: 0.117 eV/f.u.
E above lowest polymorph: 278.6 meV/atom
Fermi-level density of states: 2.5 states/eV/f.u.

a = 3.639 Å, b = 6.835 Å, c = 9.260 Å
α = 90.00°, β = 90.00°, γ = 90.00°
Space group Imm2 (No. 44)
Unique sites:
Tl 0.000 0.000 0.000
Co 0.000 0.500 0.267
Br 0.000 0.000 0.596
Br 0.000 0.500 0.750

7.
## DyY2Mg (PBE)

Data for a relaxed structure of DyY2Mg.

## Properties
E above lowest polymorph: 58.4 meV/atom
Fermi-level density of states: 7.6 states/eV/f.u.
formation enthalpy at 0 K: 2.3 kJ per mole of atoms

a = 4.931 Å, b = 4.931 Å, c = 4.913 Å
α = 90.00°, β = 90.00°, γ = 90.00°
Space group P4/mmm (No. 123)
Unique sites:
Dy 0.000 0.000 0.000
Y 0.000 0.500 0.500
Mg 0.500 0.500 0.000

8.
## Zr2Ti2ZnRh5 (PBE)

Data for a relaxed structure of Zr2Ti2ZnRh5.

## Properties
Fermi-level density of states: 7.7 states/eV/f.u.
formation enthalpy at 0 K: -48.1 kJ per mole of atoms

a = 9.643 Å, b = 9.643 Å, c = 3.557 Å
α = 90.00°, β = 90.00°, γ = 90.00°
Space group P4/mbm (No. 127)
Unique sites:
Zr 0.176 0.324 0.000
Ti 0.125 0.625 0.000
Zn 0.000 0.000 0.000
Rh 0.000 0.500 0.500
Rh 0.061 0.798 0.500

9.
## CsTl2WCl8 (PBE)

Data for a relaxed structure of CsTl2WCl8.

## Properties
formation energy without anion corrections: -13.061 eV/f.u.
Fermi-level density of states: 6.4 states/eV/f.u.

a = 6.130 Å, b = 7.641 Å, c = 9.720 Å
α = 90.04°, β = 90.01°, γ = 110.05°
Space group P-1 (No. 2)
Unique sites:
Cs 0.000 0.000 0.000
Tl 0.500 0.500 0.230
W 0.000 0.000 0.500
Cl 0.056 0.800 0.328
Cl 0.057 0.800 0.672
Cl 0.394 0.174 0.500
Cl 0.409 0.712 0.000

Q: Fermi-level density of states of number 6 (TlCoBr2)?
A: 2.5 states/eV/f.u.

Q: What is the Fermi-level density of states in the third record?
A: 5.5 states/eV/f.u.

Q: Look up the Fermi-level density of states of the fourth one.
A: 2.0 states/eV/f.u.

Q: The highest Fermi-level density of states belongs to which entry?
A: NdHo2Er4Tm